(1)
The following is a DFT calculation (PBE) of GeTePtI2 after structural relaxation.

POSCAR file:
```
GeTePtI2
1.0
-2.464 2.070 4.385
1.248 -4.482 2.817
4.619 2.250 1.533
I Ge Te Pt
2 1 1 1
Direct
0.000 0.500 0.000 I
0.500 0.000 0.000 I
0.500 0.500 0.500 Ge
0.000 0.000 0.500 Te
0.000 0.000 0.000 Pt
```

As for the calculated total energy: -2.9990 eV/atom. The value obtained for the raw formation energy is 8.79 kcal/mol of atoms. The mass density comes out at 6.80 g cm⁻³.

***

(2)
The following is a DFT calculation (PBE) of Pu4GeI5 after structural relaxation.

POSCAR file:
```
Pu4GeI5
1.0
4.235 0.000 -0.922
-0.424 8.652 -1.949
-0.068 0.205 9.872
Pu Ge I
4 1 5
Direct
0.654 0.071 0.309 Pu
0.999 0.223 0.999 Pu
0.346 0.929 0.691 Pu
0.001 0.777 0.001 Pu
0.500 0.000 0.000 Ge
0.167 0.335 0.334 I
0.172 0.817 0.344 I
0.828 0.183 0.656 I
0.500 0.500 0.000 I
0.833 0.665 0.666 I
```

As for the calculated total energy: -7.8301 eV/atom. The value obtained for the raw formation energy is -19.84 kcal/mol of atoms. The mass density comes out at 7.70 g cm⁻³.

***

(3)
The following is a DFT calculation (PBE) of Pu7GeI12 after structural relaxation.

POSCAR file:
```
Pu7GeI12
1.0
-7.424 1.988 -6.321
-3.978 -4.411 7.984
3.796 8.703 2.978
Pu Ge I
7 1 12
Direct
0.969 0.677 0.894 Pu
0.323 0.106 0.031 Pu
0.106 0.031 0.323 Pu
0.500 0.500 0.500 Pu
0.894 0.969 0.677 Pu
0.677 0.894 0.969 Pu
0.031 0.323 0.106 Pu
0.000 0.000 0.000 Ge
0.924 0.317 0.771 I
0.683 0.229 0.076 I
0.463 0.153 0.384 I
0.847 0.616 0.537 I
0.229 0.076 0.683 I
0.616 0.537 0.847 I
0.384 0.463 0.153 I
0.771 0.924 0.317 I
0.153 0.384 0.463 I
0.537 0.847 0.616 I
0.317 0.771 0.924 I
0.076 0.683 0.229 I
```

As for the calculated total energy: -7.1604 eV/atom. The value obtained for the raw formation energy is -22.68 kcal/mol of atoms. The mass density comes out at 6.77 g cm⁻³.

***

(4)
The following is a DFT calculation (PBE) of Pu4Ge2I5 after structural relaxation.

POSCAR file:
```
Pu4Ge2I5
1.0
4.166 0.000 0.000
0.000 12.174 -0.348
-2.083 -3.271 8.383
Pu Ge I
4 2 5
Direct
0.875 0.807 0.750 Pu
0.139 0.574 0.279 Pu
0.125 0.193 0.250 Pu
0.861 0.426 0.721 Pu
0.753 0.565 0.507 Ge
0.247 0.435 0.493 Ge
0.256 0.851 0.513 I
0.744 0.149 0.487 I
0.997 0.318 0.995 I
0.500 0.000 0.000 I
0.003 0.682 0.005 I
```

As for the calculated total energy: -7.3956 eV/atom. The value obtained for the raw formation energy is -14.76 kcal/mol of atoms. The mass density comes out at 6.93 g cm⁻³.

***

(5)
The following is a DFT calculation (PBE) of RbPuGeI6 after structural relaxation.

POSCAR file:
```
RbPuGeI6
1.0
7.981 0.000 0.000
-3.990 6.911 0.000
0.000 0.000 16.190
Rb Pu Ge I
2 2 2 12
Direct
0.000 0.000 0.000 Rb
0.000 0.000 0.500 Rb
0.333 0.667 0.250 Pu
0.667 0.333 0.750 Pu
0.667 0.333 0.250 Ge
0.333 0.667 0.750 Ge
0.633 0.625 0.142 I
0.992 0.367 0.142 I
0.367 0.992 0.642 I
0.008 0.633 0.858 I
0.375 0.367 0.358 I
0.992 0.625 0.358 I
0.625 0.992 0.858 I
0.633 0.008 0.358 I
0.008 0.375 0.642 I
0.375 0.008 0.142 I
0.625 0.633 0.642 I
0.367 0.375 0.858 I
```

As for the calculated total energy: -4.1564 eV/atom. The value obtained for the raw formation energy is -20.98 kcal/mol of atoms. The mass density comes out at 4.33 g cm⁻³.

***

(6)
The following is a DFT calculation (PBE) of PuTlGe2I8 after structural relaxation.

POSCAR file:
```
PuTlGe2I8
1.0
7.678 0.129 0.231
0.183 7.289 0.169
0.292 0.237 9.477
Pu Tl Ge I
1 1 2 8
Direct
0.000 0.000 0.000 Pu
0.000 0.000 0.500 Tl
0.474 0.467 0.744 Ge
0.526 0.533 0.256 Ge
0.172 0.746 0.227 I
0.672 0.753 0.019 I
0.837 0.259 0.226 I
0.828 0.254 0.773 I
0.328 0.247 0.981 I
0.163 0.741 0.774 I
0.638 0.725 0.473 I
0.362 0.275 0.527 I
```

As for the calculated total energy: -3.7602 eV/atom. The value obtained for the raw formation energy is -13.04 kcal/mol of atoms. The mass density comes out at 5.05 g cm⁻³.

***

(7)
The following is a DFT calculation (PBE) of RbGe2I4 after structural relaxation.

POSCAR file:
```
RbGe2I4
1.0
-0.284 4.670 1.934
-0.565 -4.928 5.190
15.725 0.177 1.879
Rb Ge I
2 4 8
Direct
0.621 0.241 0.750 Rb
0.379 0.759 0.250 Rb
0.117 0.234 0.450 Ge
0.883 0.766 0.950 Ge
0.117 0.234 0.050 Ge
0.883 0.766 0.550 Ge
0.770 0.541 0.102 I
0.770 0.541 0.398 I
0.230 0.459 0.898 I
0.230 0.459 0.602 I
0.925 0.850 0.750 I
0.075 0.150 0.250 I
0.500 0.000 0.000 I
0.500 0.000 0.500 I
```

As for the calculated total energy: -2.7959 eV/atom. The value obtained for the raw formation energy is -10.44 kcal/mol of atoms. The mass density comes out at 4.55 g cm⁻³.

***

(8)
The following is a DFT calculation (PBE) of Rb2Ge3I8 after structural relaxation.

POSCAR file:
```
Rb2Ge3I8
1.0
-4.364 0.225 -6.261
-7.253 4.231 4.815
-1.087 9.592 0.710
Rb Ge I
2 3 8
Direct
0.481 0.737 0.737 Rb
0.519 0.263 0.263 Rb
0.500 0.000 0.000 Ge
0.000 0.741 0.259 Ge
0.000 0.259 0.741 Ge
0.885 0.398 0.398 I
0.115 0.602 0.602 I
0.836 0.899 0.899 I
0.164 0.101 0.101 I
0.663 0.334 0.863 I
0.663 0.863 0.334 I
0.337 0.137 0.666 I
0.337 0.666 0.137 I
```

As for the calculated total energy: -2.8174 eV/atom. The value obtained for the raw formation energy is -14.97 kcal/mol of atoms. The mass density comes out at 3.92 g cm⁻³.

***

(9)
The following is a DFT calculation (PBE) of Rb2GeI7 after structural relaxation.

POSCAR file:
```
Rb2GeI7
1.0
8.778 0.000 0.000
0.000 8.778 0.000
4.389 4.389 6.043
I Ge Rb
7 1 2
Direct
0.000 0.000 0.000 I
0.265 0.265 0.471 I
0.735 0.735 0.529 I
0.271 0.271 0.000 I
0.729 0.729 0.000 I
0.729 0.271 0.000 I
0.271 0.729 0.000 I
0.500 0.500 0.000 Ge
0.750 0.250 0.500 Rb
0.250 0.750 0.500 Rb
```

As for the calculated total energy: -2.3460 eV/atom. The value obtained for the raw formation energy is -13.97 kcal/mol of atoms. The mass density comes out at 4.04 g cm⁻³.

***

(10)
The following is a DFT calculation (PBE) of Rb4GeI6 after structural relaxation.

POSCAR file:
```
Rb4GeI6
1.0
-5.639 -3.916 -7.447
8.017 -0.009 -6.190
2.365 -9.305 3.227
Rb Ge I
8 2 12
Direct
0.367 0.133 0.250 Rb
0.867 0.250 0.367 Rb
0.250 0.633 0.133 Rb
0.250 0.250 0.750 Rb
0.750 0.750 0.250 Rb
0.750 0.367 0.867 Rb
0.133 0.750 0.633 Rb
0.633 0.867 0.750 Rb
0.500 0.500 0.500 Ge
0.000 0.000 0.000 Ge
0.709 0.057 0.066 I
0.066 0.291 0.057 I
0.566 0.443 0.209 I
0.943 0.066 0.709 I
0.557 0.209 0.566 I
0.209 0.434 0.443 I
0.791 0.566 0.557 I
0.443 0.791 0.434 I
0.057 0.934 0.291 I
0.434 0.557 0.791 I
0.934 0.709 0.943 I
0.291 0.943 0.934 I
```

As for the calculated total energy: -2.7946 eV/atom. The value obtained for the raw formation energy is -27.15 kcal/mol of atoms. The mass density comes out at 3.76 g cm⁻³.

***

(11)
The following is a DFT calculation (PBE) of Rb2Ge3I8 after structural relaxation.

POSCAR file:
```
Rb2Ge3I8
1.0
7.792 0.000 0.238
0.000 8.914 0.000
-2.863 -4.457 8.427
Rb Ge I
2 3 8
Direct
0.327 0.258 0.516 Rb
0.673 0.742 0.484 Rb
0.500 0.000 0.000 Ge
0.000 0.258 0.000 Ge
0.000 0.742 0.000 Ge
0.948 0.604 0.209 I
0.052 0.396 0.791 I
0.890 0.101 0.203 I
0.110 0.899 0.797 I
0.609 0.663 0.804 I
0.609 0.141 0.804 I
0.391 0.859 0.196 I
0.391 0.337 0.196 I
```

As for the calculated total energy: -2.8342 eV/atom. The value obtained for the raw formation energy is -15.36 kcal/mol of atoms. The mass density comes out at 3.94 g cm⁻³.

***

(12)
The following is a DFT calculation (PBE) of Rb2GeI3 after structural relaxation.

POSCAR file:
```
Rb2GeI3
1.0
-6.769 -2.245 1.397
3.112 -10.607 -1.967
4.067 3.605 6.599
Rb Ge I
4 2 6
Direct
0.681 0.604 0.362 Rb
0.681 0.104 0.362 Rb
0.319 0.896 0.638 Rb
0.319 0.396 0.638 Rb
0.048 0.750 0.000 Ge
0.952 0.250 0.000 Ge
0.563 0.250 0.000 I
0.437 0.750 0.000 I
0.146 0.037 0.291 I
0.855 0.463 0.709 I
0.145 0.537 0.291 I
0.854 0.963 0.709 I
```

As for the calculated total energy: -2.6836 eV/atom. The value obtained for the raw formation energy is -18.83 kcal/mol of atoms. The mass density comes out at 3.66 g cm⁻³.

***

Question: The lowest calculated total energy belongs to which entry?
Answer: Pu4GeI5

***

Question: Among the records above, which one has the highest mass density?
Answer: Pu4GeI5

***

Question: What is the formula in the first record?
Answer: GeTePtI2